[1]
Ti2Nb8Tc | GGA-PBE | optimized geometry

Cell and atoms, written as POSCAR:
```
Ti2Nb8Tc
1.0
5.498 -4.430 0.000
5.498 4.430 0.000
-1.837 0.000 4.544
Ti Nb Tc
2 8 1
Direct
0.134 0.134 0.012 Ti
0.866 0.866 0.988 Ti
0.159 0.666 0.665 Nb
0.270 0.270 0.593 Nb
0.334 0.841 0.335 Nb
0.425 0.425 0.196 Nb
0.575 0.575 0.804 Nb
0.666 0.159 0.665 Nb
0.730 0.730 0.407 Nb
0.841 0.334 0.335 Nb
0.000 0.000 0.500 Tc
```

Calculated values
Uncorrected energy (eV per cell): -101.30
SG: No. 12
Mass density (Mg/m³): 7.03



[2]
TiNb2Tc3 | GGA-PBE | optimized geometry

Cell and atoms, written as POSCAR:
```
TiNb2Tc3
1.0
3.170 0.000 0.000
0.000 3.170 0.000
0.000 0.000 9.475
Ti Nb Tc
1 2 3
Direct
0.000 0.000 0.000 Ti
0.000 0.000 0.329 Nb
0.000 0.000 0.671 Nb
0.500 0.500 0.164 Tc
0.500 0.500 0.500 Tc
0.500 0.500 0.836 Tc
```

Calculated values
E above lowest polymorph (meV/atom): 3.9
SG: No. 123
Mass density (Mg/m³): 9.21



[3]
Ti4NbTc2 | GGA-PBE | optimized geometry

Cell and atoms, written as POSCAR:
```
Ti4NbTc2
1.0
-2.340 2.340 6.204
2.340 -2.340 6.204
2.340 2.340 -6.204
Ti Nb Tc
4 1 2
Direct
0.000 0.500 0.500 Ti
0.205 0.205 0.000 Ti
0.500 0.000 0.500 Ti
0.795 0.795 0.000 Ti
0.000 0.000 0.000 Nb
0.377 0.377 0.000 Tc
0.623 0.623 0.000 Tc
```

Calculated values
Uncorrected energy (eV per cell): -56.98
SG: No. 139
Mass density (Mg/m³): 5.87



[4]
Ti6NbTc5 | GGA-PBE | optimized geometry

Cell and atoms, written as POSCAR:
```
Ti6NbTc5
1.0
2.213 -6.608 0.000
2.213 6.608 0.000
0.000 0.000 6.300
Ti Nb Tc
6 1 5
Direct
0.000 0.000 0.239 Ti
0.000 0.000 0.761 Ti
0.329 0.671 0.244 Ti
0.329 0.671 0.756 Ti
0.671 0.329 0.244 Ti
0.671 0.329 0.756 Ti
0.500 0.500 0.500 Nb
0.163 0.837 0.500 Tc
0.167 0.833 0.000 Tc
0.500 0.500 0.000 Tc
0.833 0.167 0.000 Tc
0.837 0.163 0.500 Tc
```

Calculated values
Uncorrected energy (eV per cell): -113.95
SG: No. 65
Mass density (Mg/m³): 7.84



[5]
Ti3NbTc | GGA-PBE | optimized geometry

Cell and atoms, written as POSCAR:
```
Ti3NbTc
1.0
3.991 -2.306 0.000
3.991 2.306 0.000
-2.618 0.000 8.926
Ti Nb Tc
6 2 2
Direct
0.047 0.047 0.144 Ti
0.255 0.255 0.763 Ti
0.441 0.441 0.329 Ti
0.559 0.559 0.671 Ti
0.745 0.745 0.237 Ti
0.953 0.953 0.856 Ti
0.147 0.147 0.445 Nb
0.853 0.853 0.555 Nb
0.350 0.350 0.051 Tc
0.650 0.650 0.949 Tc
```

Calculated values
E above lowest polymorph (meV/atom): 0.0
SG: No. 12
Mass density (Mg/m³): 6.76



[6]
TiNbTcW | GGA-PBE | optimized geometry

Cell and atoms, written as POSCAR:
```
TiNbTcW
1.0
2.884 0.000 0.000
0.000 2.974 0.000
0.000 0.000 8.068
Ti Nb Tc W
1 1 1 1
Direct
0.000 0.000 0.000 Ti
0.000 0.000 0.422 Nb
0.500 0.500 0.202 Tc
0.000 0.500 0.715 W
```

Calculated values
E above lowest polymorph (meV/atom): 622.3
SG: No. 25
Mass density (Mg/m³): 10.14



The records above yield N(E_F) values of 1.09, 0.65, 0.85, 1.18, 1.26, 0.98 states/eV/atom, respectively.